# 1
First-principles (PBE) data for Tb5Al4Cd after structural relaxation, as listed in the Alexandria database.

Summary:
Energy in eV/atom: -4.29
SG: P4/mmm (123)
Energy relative to the elements in eV/atom: -0.384
Spin magnetization in μB/f.u.: 0.00

Lattice parameters (Å, degrees): 3.618 3.618 18.499 90.00 90.00 90.00
Atoms (fractional coordinates):
1 Tb 0.000 0.000 0.000
2 Tb 0.000 0.000 0.195
3 Tb 0.000 0.000 0.391
4 Tb 0.000 0.000 0.609
5 Tb 0.000 0.000 0.805
6 Al 0.500 0.500 0.097
7 Al 0.500 0.500 0.294
8 Al 0.500 0.500 0.706
9 Al 0.500 0.500 0.903
10 Cd 0.500 0.500 0.500



# 2
First-principles (PBE) data for Zr4HS after structural relaxation, as listed in the Alexandria database.

Summary:
Energy in eV/atom: -7.50
SG: I4_1md (109)
Spin magnetization in μB/f.u.: 0.00

Lattice parameters (Å, degrees): 6.693 6.693 6.693 106.48 106.48 115.63
Atoms (fractional coordinates):
1 Zr 0.211 0.511 0.700
2 Zr 0.253 0.000 0.253
3 Zr 0.261 0.061 0.800
4 Zr 0.261 0.461 0.200
5 Zr 0.747 0.000 0.747
6 Zr 0.750 0.503 0.753
7 Zr 0.750 0.997 0.247
8 Zr 0.811 0.511 0.300
9 H 0.080 0.080 0.000
10 H 0.830 0.330 0.500
11 S 0.285 0.785 0.500
12 S 0.535 0.535 0.000



# 3
First-principles (PBE) data for SmReSe after structural relaxation, as listed in the Alexandria database.

Summary:
Energy in eV/atom: -7.48
SG: P4/nmm (129)
Spin magnetization in μB/f.u.: 0.00

Lattice parameters (Å, degrees): 3.701 3.701 10.035 90.00 90.00 90.00
Atoms (fractional coordinates):
1 Sm 0.250 0.250 0.229
2 Sm 0.750 0.750 0.771
3 Re 0.250 0.750 0.500
4 Re 0.750 0.250 0.500
5 Se 0.250 0.250 0.886
6 Se 0.750 0.750 0.114



Q: What is the spin magnetization in the second record?
A: 0.00 μB/f.u.



Q: energy of number 2 (Zr4HS)?
A: -7.50 eV/atom



Q: Which of these has the lowest energy?
A: Zr4HS